{"formula": "AgPdI2O", "functional": "GGA-PBE", "state": "relaxed", "e_above_lowest_polymorph_mev_per_atom": 0, "formation_energy_uncorrected_ev_per_atom": 0.0588, "magnetic_moment_mub_per_fu": 1.123, "vol_a3_per_atom": 24.93, "lattice": [[5.658, 0.000, 0.000], [0.000, 5.658, 0.000], [0.000, 0.000, 3.894]], "species": ["Ag", "Pd", "I", "I", "O"], "fractional_positions": [[0.000, 0.000, 0.000], [0.500, 0.500, 0.500], [0.000, 0.500, 0.500], [0.500, 0.000, 0.500], [0.500, 0.500, 0.000]]}